A relaxed MnNi5O6 crystal, computed with PBE+U.

Total energy = -5.158 eV/atom
DOS at the Fermi energy = 0.00 states/eV/f.u.
Mass density = 6.18 g cm⁻³

Cell: 5.5261 5.5230 5.1643 Å, 57.67 76.34 63.79°
Each line ends with the local moment (μB).
Fractional positions:
O 0.2641 0.2258 0.0000  0.09
O 0.7619 0.1241 0.3446  0.11
O 0.2381 0.5313 0.3446  0.11
Ni 0.0000 0.3315 0.3370  1.77
Ni 0.5000 0.1677 0.6647  0.08
O 0.7359 0.7742 0.0000  0.09
Ni 0.0000 0.6685 0.6630  1.77
Ni 0.5000 0.8323 0.3353  0.08
Mn 0.0000 0.0000 0.0000  4.60
O 0.2381 0.8759 0.6554  0.11
Ni 0.5000 0.5000 0.0000  1.79
O 0.7619 0.4687 0.6554  0.11